# 1
The following is a PBE-GGA calculation of crystalline YEr3Zn8 at its relaxed geometry, from Alexandria.

abc: 5.5092 5.5092 8.6564
angles: 90.00 90.00 120.00
With the nearest neighbours (Å) after each atom.
Positions (direct):
Y (0.0000, 0.0000, 0.5601)  12 Zn 3.11-3.22, 4 Er 3.31-3.35
Zn (0.1644, 0.3287, 0.2492)  6 Zn 2.69-2.79
Zn (0.3333, 0.6667, 0.0001)  6 Zn 2.69-2.70
Zn (0.5027, 0.4973, 0.7505)  6 Zn 2.70-2.80
Zn (0.1644, 0.8356, 0.2492)  6 Zn 2.69-2.79
Zn (0.6713, 0.8356, 0.2492)  6 Zn 2.69-2.79
Zn (0.9947, 0.4973, 0.7505)  6 Zn 2.70-2.80
Zn (0.3333, 0.6667, 0.5002)  6 Zn 2.70-2.71
Zn (0.5027, 0.0053, 0.7505)  6 Zn 2.70-2.80
Er (0.0000, 0.0000, 0.9421)  12 Zn 3.09-3.22, 1 Y 3.31, 3 Er 3.34
Er (0.6667, 0.3333, 0.0587)  12 Zn 3.09-3.22, 4 Er 3.30-3.34
Er (0.6667, 0.3333, 0.4396)  12 Zn 3.11-3.22, 1 Er 3.30, 3 Y 3.35

- V: 19.0 A^3/atom
- Calculated total energy: -2.856 eV per atom
- Size of the total moment: 0.0 μB/f.u.
- Symmetry: P3m1
- DFT formation energy: -0.328 eV per atom

***

# 2
The following is a PBE-GGA calculation of crystalline YErZn at its relaxed geometry, from Alexandria.

abc: 3.5650 3.5650 6.5882
angles: 105.70 105.70 90.00
With the nearest neighbours (Å) after each atom.
Positions (direct):
Y (0.0221, 0.0221, 0.0442)  4 Zn 3.09
Er (0.3086, 0.3086, 0.6171)  4 Zn 3.04
Zn (0.6693, 0.6693, 0.3386)  4 Er 3.04, 4 Y 3.09

- V: 25.8 A^3/atom
- Calculated total energy: -4.321 eV per atom
- Size of the total moment: 0.0 μB/f.u.
- Symmetry: I4mm
- DFT formation energy: -0.220 eV per atom

***

# 3
The following is a PBE-GGA calculation of crystalline YErZn2 at its relaxed geometry, from Alexandria.

abc: 3.5758 5.0233 5.0233
angles: 90.00 90.00 90.00
With the nearest neighbours (Å) after each atom.
Positions (direct):
Y (0.5000, 0.0000, 0.0000)  8 Zn 3.08
Er (0.5000, 0.5000, 0.5000)  8 Zn 3.08
Zn (0.0000, 0.5000, 0.0000)  4 Er 3.08, 4 Y 3.08
Zn (0.0000, 0.0000, 0.5000)  4 Er 3.08, 4 Y 3.08

- V: 22.6 A^3/atom
- Calculated total energy: -3.748 eV per atom
- Size of the total moment: 0.0 μB/f.u.
- Symmetry: P4/mmm
- DFT formation energy: -0.355 eV per atom